DFT (PBE-GGA) results for an optimized crystal structure of Y2MgCu9.

Cell: 8.7286 8.7287 8.7287 Å, 34.13 34.13 34.13°
Fractional positions:
Y 0.1366 0.1366 0.1366
Y 0.8634 0.8634 0.8634
Mg 0.0000 0.0000 0.0000
Cu 0.3330 0.3328 0.3328
Cu 0.6670 0.6672 0.6672
Cu 0.5000 0.5000 0.5000
Cu 0.0797 0.5821 0.5821
Cu 0.5822 0.0797 0.5822
Cu 0.5822 0.5822 0.0797
Cu 0.9203 0.4179 0.4179
Cu 0.4178 0.4178 0.9203
Cu 0.4178 0.9203 0.4178

total magnetic moment = 0.00 μB per cell
energy of formation from the pure elements = -0.13 eV/atom
space group = R-3m

=====

DFT (PBE-GGA) results for an optimized crystal structure of Nd3AgHg2.

Cell: 3.8198 3.8198 11.3677 Å, 90.00 90.00 90.00°
Fractional positions:
Nd 0.0000 0.0000 0.0000
Nd 0.0000 0.0000 0.6633
Nd 0.0000 0.0000 0.3367
Ag 0.5000 0.5000 0.5000
Hg 0.5000 0.5000 0.8317
Hg 0.5000 0.5000 0.1683

energy above the most stable polymorph in this dataset = 0.003 eV/atom
total magnetic moment = 1.00 μB per cell
energy of formation from the pure elements = -0.40 eV/atom
space group = P4/mmm